(1)
# ZrAgPbAu PBE optimized geometry
# - E_tot: -4.69 eV/atom
# - Total moment: 0.0 μB/f.u.
# - Volume: 337.8 Å³ per cell
# - E_form: -91 meV/atom
data_ZrAgPbAu
_chemical_formula_sum 'Zr4 Ag4 Pb4 Au4'
_cell_length_a 6.9645
_cell_length_b 6.9645
_cell_length_c 6.9645
_cell_angle_alpha 90.00
_cell_angle_beta 90.00
_cell_angle_gamma 90.00
_symmetry_space_group_name_H-M 'F -4 3 m'
_symmetry_Int_Tables_number 216
_symmetry_space_group_name_Hall 'F -4 2 3'
loop_
_atom_site_label
_atom_site_type_symbol
_atom_site_fract_x
_atom_site_fract_y
_atom_site_fract_z
Zr1 Zr 0.0000 0.0000 0.0000
Ag1 Ag 0.0000 0.0000 0.5000
Pb1 Pb 0.2500 0.2500 0.2500
Au1 Au 0.2500 0.2500 0.7500

=====

(2)
# Ag5Pd8Au PBE optimized geometry
# - E_tot: -4.03 eV/atom
# - Total moment: 0.0 μB/f.u.
# - Volume: 492.9 Å³ per cell
# - E_form: 185 meV/atom
data_Ag5Pd8Au
_chemical_formula_sum 'Ag10 Pd16 Au2'
_cell_length_a 7.9243
_cell_length_b 7.9243
_cell_length_c 7.8496
_cell_angle_alpha 90.00
_cell_angle_beta 90.00
_cell_angle_gamma 90.00
_symmetry_space_group_name_H-M 'I -4'
_symmetry_Int_Tables_number 82
_symmetry_space_group_name_Hall 'I -4'
loop_
_atom_site_label
_atom_site_type_symbol
_atom_site_fract_x
_atom_site_fract_y
_atom_site_fract_z
Ag1 Ag 0.0000 0.0000 0.0000
Ag2 Ag 0.1098 0.1949 0.4078
Pd1 Pd 0.0604 0.3405 0.0846
Pd2 Pd 0.1181 0.1869 0.7506
Au1 Au 0.0000 0.5000 0.7500

=====

(3)
# Ag4PdAu PBE optimized geometry
# - E_tot: -3.36 eV/atom
# - Total moment: 0.0 μB/f.u.
# - Volume: 209.1 Å³ per cell
# - E_form: -48 meV/atom
data_Ag4PdAu
_chemical_formula_sum 'Ag8 Pd2 Au2'
_cell_length_a 9.1915
_cell_length_b 4.1408
_cell_length_c 5.7589
_cell_angle_alpha 90.00
_cell_angle_beta 107.49
_cell_angle_gamma 90.00
_symmetry_space_group_name_H-M 'C 1 2/m 1'
_symmetry_Int_Tables_number 12
_symmetry_space_group_name_Hall '-C 2y'
loop_
_atom_site_label
_atom_site_type_symbol
_atom_site_fract_x
_atom_site_fract_y
_atom_site_fract_z
Ag1 Ag 0.1650 0.0000 0.3299
Ag2 Ag 0.1668 0.0000 0.8358
Pd1 Pd 0.0000 0.5000 0.0000
Au1 Au 0.0000 0.5000 0.5000